Model w:
A plane-wave DFT calculation with PBE-GGA was carried out for an optimized crystal structure of GeP2IrS.

Crystal system: monoclinic
Symmetry: Cm (8)

Cell lengths 8.7159, 3.2636, 6.6867 Å; angles 90.00, 109.13, 90.00 degrees
Positions (direct):
Ge 0.4864 0.0000 0.2913
Ge 0.4864 0.5000 0.7913
P 0.1535 0.0000 0.1345
P 0.1535 0.5000 0.6345
P 0.9086 0.0000 0.8721
P 0.9086 0.5000 0.3721
Ir 0.2938 0.0000 0.5130
Ir 0.2938 0.5000 0.0130
S 0.7178 0.0000 0.9888
S 0.7178 0.5000 0.4888

***

Model x:
A plane-wave DFT calculation with PBE-GGA was carried out for an optimized crystal structure of GeP2IrS.

Crystal system: trigonal
Symmetry: P3m1 (156)

Cell lengths 3.4630, 3.4630, 9.1182 Å; angles 90.00, 90.00, 120.00 degrees
Positions (direct):
Ge 0.0000 0.0000 0.5324
P 0.3333 0.6667 0.2634
P 0.3333 0.6667 0.9679
Ir 0.0000 0.0000 0.1126
S 0.6667 0.3333 0.6838

***

According to the calculations, the structures order from most to least stable as model x, model w.

***

Model w:
A plane-wave DFT calculation with PBE-GGA was carried out for an optimized crystal structure of Pa2GeIr.

Crystal system: tetragonal
Symmetry: P4/mmm (123)

Cell lengths 4.2479, 4.3683, 4.3683 Å; angles 90.00, 90.00, 90.00 degrees
Positions (direct):
Ge 0.5000 0.5000 0.5000
Pa 0.0000 0.0000 0.5000
Pa 0.0000 0.5000 0.0000
Ir 0.5000 0.0000 0.0000

***

Model x:
A plane-wave DFT calculation with PBE-GGA was carried out for an optimized crystal structure of Pa2GeIr.

Crystal system: tetragonal
Symmetry: P4/mmm (123)

Cell lengths 3.7174, 3.7174, 6.0483 Å; angles 90.00, 90.00, 90.00 degrees
Positions (direct):
Ge 0.5000 0.5000 0.5000
Pa 0.0000 0.0000 0.7515
Pa 0.0000 0.0000 0.2485
Ir 0.5000 0.5000 0.0000

***

Model y:
A plane-wave DFT calculation with PBE-GGA was carried out for an optimized crystal structure of Pa2GeIr.

Crystal system: monoclinic
Symmetry: P2_1/m (11)

Cell lengths 3.9889, 5.8852, 8.2770 Å; angles 112.99, 90.00, 90.00 degrees
Positions (direct):
Pa 0.7500 0.2130 0.4344
Pa 0.2500 0.7870 0.5656
Pa 0.2500 0.7820 0.0929
Pa 0.7500 0.2180 0.9071
Ge 0.2500 0.3295 0.1987
Ge 0.7500 0.6705 0.8013
Ir 0.7500 0.6795 0.3018
Ir 0.2500 0.3205 0.6982

***

According to the calculations, the structures order from most to least stable as model y, model x, model w.

***

Model w:
A plane-wave DFT calculation with PBE-GGA was carried out for an optimized crystal structure of Pa3Ge3Ir2.

Crystal system: orthorhombic
Symmetry: Cmcm (63)

Cell lengths 4.2882, 5.6048, 14.5814 Å; angles 90.00, 90.00, 112.49 degrees
Positions (direct):
Pa 0.9123 0.8246 0.3912
Pa 0.0877 0.1754 0.8912
Pa 0.9123 0.8246 0.1088
Pa 0.0877 0.1754 0.6088
Pa 0.6417 0.2833 0.2500
Pa 0.3583 0.7167 0.7500
Ge 0.6179 0.2358 0.4640
Ge 0.3821 0.7642 0.9640
Ge 0.6179 0.2358 0.0360
Ge 0.3821 0.7642 0.5360
Ge 0.3592 0.7184 0.2500
Ge 0.6408 0.2816 0.7500
Ir 0.8007 0.6015 0.8888
Ir 0.1993 0.3985 0.3888
Ir 0.8007 0.6015 0.6112
Ir 0.1993 0.3985 0.1112

***

Model x:
A plane-wave DFT calculation with PBE-GGA was carried out for an optimized crystal structure of Pa3Ge3Ir2.

Crystal system: orthorhombic
Symmetry: Pnma (62)

Cell lengths 5.7071, 7.8041, 14.6384 Å; angles 90.00, 90.00, 90.00 degrees
Positions (direct):
Pa 0.1176 0.4640 0.3936
Pa 0.6176 0.0360 0.6064
Pa 0.8824 0.5360 0.8936
Pa 0.3824 0.9640 0.1064
Pa 0.8824 0.5360 0.6064
Pa 0.3824 0.9640 0.3936
Pa 0.1176 0.4640 0.1064
Pa 0.6176 0.0360 0.8936
Pa 0.6336 0.3273 0.2500
Pa 0.1336 0.1727 0.7500
Pa 0.3664 0.6727 0.7500
Pa 0.8664 0.8273 0.2500
Ge 0.1431 0.1848 0.2500
Ge 0.6431 0.3152 0.7500
Ge 0.8569 0.8152 0.7500
Ge 0.3569 0.6848 0.2500
Ge 0.5917 0.3104 0.4611
Ge 0.0917 0.1896 0.5389
Ge 0.4083 0.6896 0.9611
Ge 0.9083 0.8104 0.0389
Ge 0.4083 0.6896 0.5389
Ge 0.9083 0.8104 0.4611
Ge 0.5917 0.3104 0.0389
Ge 0.0917 0.1896 0.9611
Ir 0.8747 0.1022 0.3859
Ir 0.3747 0.3978 0.6141
Ir 0.1253 0.8978 0.8859
Ir 0.6253 0.6022 0.1141
Ir 0.1253 0.8978 0.6141
Ir 0.6253 0.6022 0.3859
Ir 0.8747 0.1022 0.1141
Ir 0.3747 0.3978 0.8859

***

According to the calculations, the structures order from most to least stable as model w, model x.

***

Model w:
A plane-wave DFT calculation with PBE-GGA was carried out for an optimized crystal structure of PaGeIr2.

Crystal system: trigonal
Symmetry: R-3m (166)

Cell lengths 4.1977, 4.1977, 5.4675 Å; angles 67.43, 67.43, 60.00 degrees
Positions (direct):
Ge 0.5000 0.5000 0.5000
Pa 0.0000 0.0000 0.0000
Ir 0.7795 0.7795 0.6615
Ir 0.2205 0.2205 0.3385

***

Model x:
A plane-wave DFT calculation with PBE-GGA was carried out for an optimized crystal structure of PaGeIr2.

Crystal system: monoclinic
Symmetry: P2/m (10)

Cell lengths 3.8536, 5.7315, 4.5371 Å; angles 128.97, 90.01, 90.00 degrees
Positions (direct):
Pa 0.5000 0.5000 0.0000
Ge 0.5000 0.0000 0.0000
Ir 0.9999 0.7731 0.5447
Ir 0.0001 0.2269 0.4553

***

According to the calculations, the structures order from most to least stable as model w, model x.

***

Model w:
A plane-wave DFT calculation with PBE-GGA was carried out for an optimized crystal structure of Ge2Ir2Pb.

Crystal system: tetragonal
Symmetry: P4/mbm (127)

Cell lengths 7.7489, 7.7489, 2.9395 Å; angles 90.00, 90.00, 90.00 degrees
Positions (direct):
Pb 0.0000 0.0000 0.0000
Pb 0.5000 0.5000 0.0000
Ge 0.1455 0.6455 0.5000
Ge 0.6455 0.8545 0.5000
Ge 0.8545 0.3545 0.5000
Ge 0.3545 0.1455 0.5000
Ir 0.3603 0.8603 0.0000
Ir 0.8603 0.6397 0.0000
Ir 0.6397 0.1397 0.0000
Ir 0.1397 0.3603 0.0000

***

Model x:
A plane-wave DFT calculation with PBE-GGA was carried out for an optimized crystal structure of Ge2Ir2Pb.

Crystal system: tetragonal
Symmetry: I4/mmm (139)

Cell lengths 3.9902, 3.9902, 6.5809 Å; angles 72.35, 72.35, 90.00 degrees
Positions (direct):
Pb 0.0000 0.0000 0.0000
Ge 0.7500 0.2500 0.5000
Ge 0.2500 0.7500 0.5000
Ir 0.3761 0.3761 0.2478
Ir 0.6239 0.6239 0.7522

***

According to the calculations, the structures order from most to least stable as model x, model w.

***

Model w:
A plane-wave DFT calculation with PBE-GGA was carried out for an optimized crystal structure of GeIr2Pb.

Crystal system: tetragonal
Symmetry: I-42d (122)

Cell lengths 5.8740, 5.8740, 7.0817 Å; angles 65.50, 65.50, 90.00 degrees
Positions (direct):
Pb 0.0000 0.0000 0.0000
Pb 0.7500 0.2500 0.5000
Ge 0.5000 0.5000 0.0000
Ge 0.2500 0.7500 0.5000
Ir 0.5813 0.1250 0.2500
Ir 0.1687 0.6250 0.2500
Ir 0.3750 0.4187 0.7500
Ir 0.8750 0.8313 0.7500

***

Model x:
A plane-wave DFT calculation with PBE-GGA was carried out for an optimized crystal structure of GeIr2Pb.

Crystal system: cubic
Symmetry: Fm-3m (225)

Cell lengths 4.6178, 4.6178, 4.6178 Å; angles 60.00, 60.00, 60.00 degrees
Each line ends with the local moment (μB).
Positions (direct):
Pb 0.5000 0.5000 0.5000  0.01
Ge 0.0000 0.0000 0.0000  0.03
Ir 0.2500 0.2500 0.2500  0.34
Ir 0.7500 0.7500 0.7500  0.34

***

According to the calculations, the structures order from most to least stable as model x, model w.